[1]
Here is a geometry-optimized ThPtRh structure from Alexandria via LeMat-Bulk. Energies are from GGA-PBE.

abc: 3.706 3.706 5.183
angles: 110.94 110.94 90.00
Element x y z (fractional)
Pt 0.281 0.281 0.561
Rh 0.954 0.954 0.908
Th 0.615 0.615 0.230

Calculated values
- space group = I4mm, No. 107
- energy above the most stable polymorph in this dataset (kJ/mol of formula units) = 66
- energy of formation from the pure elements (kJ/mol of atoms) = -78.3
- calculated total energy (eV/cell) = -23.247
- DOS(E_F) (states/eV per cell) = 2.8


[2]
Here is a geometry-optimized Er3HfIn3Se8 structure from Alexandria via LeMat-Bulk. Energies are from GGA-PBE.

abc: 8.073 8.073 9.084
angles: 116.39 90.00 120.00
Element x y z (fractional)
Er 0.500 0.500 0.500
Er 0.500 0.000 0.500
Er 0.000 0.500 0.500
In 0.000 0.000 0.000
In 0.000 0.500 0.000
In 0.500 0.500 0.000
Se 0.226 0.452 0.701
Se 0.226 0.975 0.701
Se 0.250 0.025 0.299
Se 0.774 0.025 0.299
Se 0.774 0.548 0.299
Se 0.736 0.472 0.707
Se 0.264 0.528 0.293
Se 0.750 0.975 0.701
Hf 0.000 0.000 0.500

Calculated values
- uncorrected formation energy (kcal/mol of atoms) = -30.18
- space group = R-3m, No. 166
- calculated total energy (eV/cell) = -79.365
- DOS(E_F) (states/eV per cell) = 0.1